First-principles (PBE) data for a geometry-optimized Sr3Li2Ca2Tl4 structure, as listed in Alexandria via LeMat-Bulk.

a b c (Å): 5.4506 5.4506 14.2806
angles (deg): 90.00 90.00 120.00
Element x y z (fractional)
Sr  0.0000  0.0000  0.0000
Sr  0.0000  0.0000  0.2671
Sr  0.0000  0.0000  0.7329
Li  0.3333  0.6667  0.1415
Li  0.6667  0.3333  0.8585
Ca  0.3333  0.6667  0.5769
Ca  0.6667  0.3333  0.4231
Tl  0.3333  0.6667  0.3484
Tl  0.3333  0.6667  0.8547
Tl  0.6667  0.3333  0.1453
Tl  0.6667  0.3333  0.6516

Output
Electronic total energy (eV for the cell shown): -25.04